No. 1
Here is Pm3Ga7Ag2 after structural relaxation from the Alexandria database. Energies are from PBE.

Cell and atoms, written as extended XYZ:
```
12
Lattice="4.318 0.000 0.000 0.000 4.320 0.000 -2.137 0.000 13.695" Properties=species:S:1:pos:R:3 pbc="T T T"
Pm 0.000 0.000 0.000
Pm 0.015 2.160 8.611
Pm 2.166 2.160 5.083
Ga -0.007 2.160 2.191
Ga 0.011 0.000 6.211
Ga 0.021 0.000 11.495
Ga 2.159 2.160 0.000
Ga 2.160 0.000 2.200
Ga 2.170 0.000 7.484
Ga 2.188 2.160 11.503
Ag 0.002 0.000 3.669
Ag 2.179 0.000 10.025
```

## Properties
**Magnetization**: 0.000 μB per atom
**Energy**: -3.892 eV/atom


No. 2
Here is TeAsN2 after structural relaxation from the Alexandria database. Energies are from PBE.

Cell and atoms, written as extended XYZ:
```
4
Lattice="0.000 2.970 2.970 2.970 0.000 2.970 2.970 2.970 0.000" Properties=species:S:1:pos:R:3 pbc="T T T"
Te 0.000 0.000 0.000
As 2.970 2.970 2.970
N 1.485 1.485 1.485
N 4.456 4.456 4.456
```

## Properties
**Magnetization**: 0.000 μB per atom
**Formation energy without anion corrections**: 1701 meV/atom
**Energy**: -4.409 eV/atom
**Offset from the most stable computed form**: 0.916 eV/atom


No. 3
Here is Te2Au after structural relaxation from the Alexandria database. Energies are from PBE.

Cell and atoms, written as extended XYZ:
```
6
Lattice="5.270 0.000 0.000 -2.635 4.564 0.000 0.000 0.000 6.242" Properties=species:S:1:pos:R:3 pbc="T T T"
Te 0.000 0.000 0.000
Te 0.000 0.000 3.121
Te 0.000 3.043 1.560
Te 2.635 1.521 4.681
Au 0.000 3.043 4.681
Au 2.635 1.521 1.560
```

## Properties
**Magnetization**: 0.000 μB per atom
**Formation energy without anion corrections**: 376 meV/atom
**Energy**: -2.811 eV/atom


No. 4
Here is KCa2Pt2 after structural relaxation from the Alexandria database. Energies are from PBE.

Cell and atoms, written as extended XYZ:
```
5
Lattice="-2.668 2.668 5.684 2.668 -2.668 5.684 2.668 2.668 -5.684" Properties=species:S:1:pos:R:3 pbc="T T T"
K 0.000 0.000 0.000
Ca 0.000 0.000 3.709
Ca 0.000 0.000 7.660
Pt 2.668 0.000 2.842
Pt 0.000 2.668 2.842
```

## Properties
**Magnetization**: 0.000 μB per atom
**Energy**: -3.805 eV/atom


No. 5
Here is Al2FeH after structural relaxation from the Alexandria database. Energies are from PBE.

Cell and atoms, written as extended XYZ:
```
8
Lattice="-2.968 2.968 2.486 2.968 -2.968 2.486 2.968 2.968 -2.486" Properties=species:S:1:pos:R:3 pbc="T T T"
Al 1.484 1.027 -0.621
Al 1.941 -1.484 3.107
Al 1.484 1.941 1.864
Al 1.027 4.452 0.621
Fe 2.968 0.000 1.243
Fe 0.000 0.000 2.486
H 0.000 0.000 0.000
H 0.000 2.968 1.243
```

## Properties
**Magnetization**: 0.250 μB per atom
**Energy**: -4.683 eV/atom
**Offset from the most stable computed form**: 0.151 eV/atom


No. 6
Here is Na2GaTe after structural relaxation from the Alexandria database. Energies are from PBE.

Cell and atoms, written as extended XYZ:
```
4
Lattice="0.000 3.784 3.784 3.784 0.000 3.784 3.784 3.784 0.000" Properties=species:S:1:pos:R:3 pbc="T T T"
Na 1.892 1.892 1.892
Na 5.676 5.676 5.676
Ga 0.000 0.000 0.000
Te 3.784 3.784 3.784
```

## Properties
**Magnetization**: 0.000 μB per atom
**Formation energy without anion corrections**: -352 meV/atom
**Energy**: -2.554 eV/atom
**Offset from the most stable computed form**: 0.000 eV/atom


No. 7
Here is Tb6C2S3O after structural relaxation from the Alexandria database. Energies are from PBE.

Cell and atoms, written as extended XYZ:
```
12
Lattice="8.278 -1.856 0.000 8.278 1.856 0.000 -2.059 0.000 7.339" Properties=species:S:1:pos:R:3 pbc="T T T"
Tb -0.312 0.000 1.742
Tb 4.488 0.000 3.208
Tb 3.769 0.000 6.556
Tb 10.728 0.000 0.782
Tb 10.009 0.000 4.131
Tb 14.809 0.000 5.597
C 2.031 0.000 2.396
C 12.465 0.000 4.943
S 1.022 0.000 6.116
S 7.248 0.000 3.669
S 13.475 0.000 1.223
O 8.278 0.000 0.000
```

## Properties
**Magnetization**: 0.000 μB per atom
**Formation energy without anion corrections**: -1678 meV/atom
**Energy**: -6.975 eV/atom


No. 8
Here is Pr3BiPd8 after structural relaxation from the Alexandria database. Energies are from PBE.

Cell and atoms, written as extended XYZ:
```
12
Lattice="2.787 1.609 9.018 -2.787 1.609 9.018 0.000 -3.218 9.018" Properties=species:S:1:pos:R:3 pbc="T T T"
Pr 0.000 0.000 0.000
Pr 0.000 0.000 3.531
Pr 0.000 0.000 16.540
Bi 0.000 0.000 13.099
Pd -1.417 -0.818 10.612
Pd 0.000 -1.625 6.223
Pd -1.407 0.813 6.223
Pd 0.000 0.000 8.424
Pd 1.417 -0.818 10.612
Pd 0.000 1.637 10.612
Pd 1.407 0.813 6.223
Pd 0.000 0.000 21.959
```

## Properties
**Magnetization**: 0.000 μB per atom
**Energy**: -5.650 eV/atom


No. 9
Here is CaZnSiMo2 after structural relaxation from the Alexandria database. Energies are from PBE.

Cell and atoms, written as extended XYZ:
```
5
Lattice="4.690 0.000 0.000 0.000 4.690 0.000 0.000 0.000 4.988" Properties=species:S:1:pos:R:3 pbc="T T T"
Ca 0.000 0.000 0.000
Zn 2.345 2.345 2.494
Si 0.000 0.000 2.494
Mo 0.000 2.345 0.000
Mo 2.345 0.000 0.000
```

## Properties
**Magnetization**: 0.351 μB per atom
**Formation energy without anion corrections**: 2371 meV/atom
**Energy**: -3.701 eV/atom


No. 10
Here is RePdSe2Br after structural relaxation from the Alexandria database. Energies are from PBE.

Cell and atoms, written as extended XYZ:
```
5
Lattice="4.757 0.000 0.000 0.000 4.757 0.000 0.000 0.000 5.435" Properties=species:S:1:pos:R:3 pbc="T T T"
Re 0.000 0.000 0.000
Pd 2.378 2.378 2.718
Se 0.000 2.378 0.000
Se 2.378 0.000 0.000
Br 0.000 0.000 2.718
```

## Properties
**Magnetization**: 0.000 μB per atom
**Formation energy without anion corrections**: 665 meV/atom
**Energy**: -4.592 eV/atom
**Offset from the most stable computed form**: 0.000 eV/atom


No. 11
Here is CsCuP2Cl after structural relaxation from the Alexandria database. Energies are from PBE.

Cell and atoms, written as extended XYZ:
```
5
Lattice="4.482 0.000 0.000 0.000 4.482 0.000 0.000 0.000 7.758" Properties=species:S:1:pos:R:3 pbc="T T T"
Cs 0.000 0.000 0.000
Cu 2.241 2.241 3.879
P 0.000 2.241 3.879
P 2.241 0.000 3.879
Cl 2.241 2.241 0.000
```

## Properties
**Magnetization**: 0.144 μB per atom
**Formation energy without anion corrections**: -9 meV/atom
**Energy**: -3.532 eV/atom
**Offset from the most stable computed form**: 0.000 eV/atom


No. 12
Here is NdSmU2As4 after structural relaxation from the Alexandria database. Energies are from PBE.

Cell and atoms, written as extended XYZ:
```
8
Lattice="7.144 0.000 0.000 0.000 4.124 0.000 -2.381 0.000 6.916" Properties=species:S:1:pos:R:3 pbc="T T T"
Nd 0.000 0.000 0.000
Sm 3.572 2.062 0.000
U -1.190 2.062 3.458
U 2.382 0.000 3.458
As 0.012 0.000 5.117
As 1.203 2.062 1.809
As 3.561 2.062 5.108
As 4.751 0.000 1.799
```

## Properties
**Magnetization**: 0.610 μB per atom
**Energy**: -7.460 eV/atom